## Y2CdAs (PBE-GGA)

Data for crystalline Y2CdAs at its relaxed geometry.

Calculated formation energy, eV/atom: -0.774
Offset from the most stable computed form, eV per atom: 0.0707
Symmetry: No. 38
N(E_F), states/eV per atom: 0.50

POSCAR file:
```
Y2CdAs
1.0
4.1456 0.0000 0.0000
0.0000 2.1541 5.6191
0.0000 -2.1541 5.6191
Y Cd As
2 1 1
direct
0.0000 0.0000 0.0000
0.5000 0.2842 0.2842
0.0000 0.7240 0.7240
0.5000 0.5474 0.5474
```